Entry 1:
AlZnTeI2 after structural relaxation, computed with PBE-GGA.

The structure in POSCAR format:
```
AlZnTeI2
1.0
5.639 0.000 0.000
0.000 5.639 0.000
0.000 0.000 5.357
Zn I Al Te
1 2 1 1
Direct
0.000 0.000 0.000 Zn
0.000 0.500 0.000 I
0.500 0.000 0.000 I
0.500 0.500 0.500 Al
0.000 0.000 0.500 Te
```

Computed properties:
Calculated density: 4.62 g cm⁻³
Energy relative to the elements, uncorrected: 155 meV/atom
V: 34.1 A^3/atom
Magnetization: 0.00 μB per formula unit
Polymorph energy (0 for the lowest one): 0.33 eV/f.u.

---

Entry 2:
NbNi2Ge after structural relaxation, computed with PBE-GGA.

The structure in POSCAR format:
```
NbNi2Ge
1.0
7.947 0.000 0.002
0.000 4.133 0.000
-3.382 0.000 6.690
Ni Nb Ge
8 4 4
Direct
0.259 0.000 0.784 Ni
0.908 0.500 0.450 Ni
0.886 0.000 0.626 Ni
0.613 0.500 0.458 Ni
0.259 0.500 0.284 Ni
0.886 0.500 0.126 Ni
0.908 0.000 0.950 Ni
0.613 0.000 0.958 Ni
0.040 0.500 0.846 Nb
0.467 0.000 0.551 Nb
0.467 0.500 0.051 Nb
0.040 0.000 0.346 Nb
0.243 0.500 0.609 Ge
0.243 0.000 0.109 Ge
0.670 0.500 0.801 Ge
0.670 0.000 0.301 Ge
```

Computed properties:
Calculated density: 8.55 g cm⁻³
V: 13.7 A^3/atom
E_form: -0.27 eV/atom
Magnetization: 0.00 μB per formula unit